Compound: Th6GaSb5
Source: the Alexandria database
Functional: PBE-GGA
Structure: optimized geometry

SG = No. 12
E_form (uncorrected) = -0.824 eV/atom
Volume = 31.8 A^3/atom
Density of states at the Fermi level = 8.4 states/eV/cell

a b c (Å): 7.7569 7.7569 7.7652
angles (deg): 99.59 99.59 119.90
Fractional coordinates of all 12 atoms:
Th  0.0792  0.3991  0.7397
Th  0.2367  0.2367  0.2554
Th  0.3991  0.0792  0.7397
Th  0.6009  0.9208  0.2603
Th  0.7633  0.7633  0.7446
Th  0.9208  0.6009  0.2603
Ga  0.0000  0.0000  0.5000
Sb  0.1731  0.8269  0.0000
Sb  0.3349  0.6651  0.5000
Sb  0.5000  0.5000  0.0000
Sb  0.6651  0.3349  0.5000
Sb  0.8269  0.1731  0.0000